[1]
VASP calculation (SCAN) on a crystal of HoGaAg relaxed with PBEsol.

The structure in POSCAR format:
```
HoGaAg
1.0
-0.9487 -0.2807 4.3518
2.3823 -4.3894 2.5245
3.9877 2.3829 3.3114
Ho Ag Ga
2 2 2
Cartesian
2.5812 -2.8526 4.9554
2.8401 0.5654 5.2323
3.5790 -1.2539 7.5643
1.8423 -1.0333 2.6233
5.2762 -1.4398 5.6340
0.1452 -0.8474 4.5537
```

energy relative to the elements	-0.5786	eV/atom


[2]
VASP calculation (SCAN) on a crystal of Ho2GaAg relaxed with PBEsol.

The structure in POSCAR format:
```
Ho2GaAg
1.0
-1.1593 3.9881 2.7831
0.5325 -0.1784 4.9678
3.6209 2.6355 2.2221
Ga Ho Ag
1 2 1
Cartesian
1.4970 3.2226 4.9865
0.7485 1.6113 2.4933
2.2456 4.8339 7.4798
0.0000 0.0000 0.0000
```

energy relative to the elements	-0.5472	eV/atom


[3]
VASP calculation (SCAN) on a crystal of GaAgI2 relaxed with PBEsol.

The structure in POSCAR format:
```
GaAgI2
1.0
7.8808 0.0000 0.0000
0.0000 7.8808 0.0000
-3.9404 -3.9404 4.1281
I Ag Ga
4 2 2
Cartesian
-1.9702 -2.2494 3.0961
1.6910 5.9106 1.0320
1.9702 2.2494 3.0961
6.1898 1.9702 1.0320
0.0000 0.0000 0.0000
0.0000 3.9404 2.0641
3.9404 0.0000 2.0641
3.9404 3.9404 0.0000
```

formation energy from raw total energies	-3.8	kcal/mol of atoms


[4]
VASP calculation (SCAN) on a crystal of Ga3AgI relaxed with PBEsol.

The structure in POSCAR format:
```
Ga3AgI
1.0
5.7802 0.0000 0.0000
0.0000 5.7802 0.0000
0.0000 0.0000 5.7802
Ga I Ag
3 1 1
Cartesian
0.0000 0.0000 2.8901
2.8901 0.0000 0.0000
0.0000 2.8901 0.0000
0.0000 0.0000 0.0000
2.8901 2.8901 2.8901
```

formation energy from raw total energies	22.6	kcal/mol of atoms


[5]
VASP calculation (SCAN) on a crystal of GaAg3I relaxed with PBEsol.

The structure in POSCAR format:
```
GaAg3I
1.0
-0.6667 2.8491 3.9602
-3.3964 -3.1404 1.6875
3.5022 -2.5031 2.3904
Ag Ga I
3 1 1
Cartesian
1.7511 -1.2516 1.1952
-1.6982 -1.5702 0.8438
-0.3333 1.4246 1.9801
0.0000 0.0000 0.0000
-0.2804 -1.3972 4.0191
```

formation energy from raw total energies	11.4	kcal/mol of atoms


[6]
VASP calculation (SCAN) on a crystal of GaAgI2N relaxed with PBEsol.

The structure in POSCAR format:
```
GaAgI2N
1.0
-0.3256 -3.6269 -1.7144
-1.9644 -2.1704 4.9646
-5.3982 1.2384 -1.5946
Ga I Ag N
1 2 1 1
Cartesian
-3.8441 -2.2795 0.8278
-0.9822 -1.0852 2.4823
-2.6991 0.6192 -0.7973
0.0000 0.0000 0.0000
-0.1628 -1.8135 -0.8572
```

formation energy from raw total energies	14.9	kcal/mol of atoms


[7]
VASP calculation (SCAN) on a crystal of Rb2GaAgI6 relaxed with PBEsol.

The structure in POSCAR format:
```
Rb2GaAgI6
1.0
-1.5783 -7.0333 3.6296
6.0593 -4.8625 2.1848
1.7604 -0.9931 7.8132
I Ga Rb Ag
6 1 2 1
Cartesian
5.5082 -6.1453 8.4317
0.7332 -6.7436 5.1960
2.4295 -3.6747 7.3216
1.6276 -7.2482 9.1658
3.8119 -9.2142 6.3061
4.6138 -5.6406 4.4619
0.0000 0.0000 0.0000
1.5603 -3.2222 3.4069
4.6810 -9.6666 10.2208
3.1207 -6.4444 6.8138
```

formation energy from raw total energies	-19.1	kcal/mol of atoms


[8]
VASP calculation (SCAN) on a crystal of InGaAg2Se4 relaxed with PBEsol.

The structure in POSCAR format:
```
InGaAg2Se4
1.0
5.9784 0.0000 0.0000
0.0000 5.9784 0.0000
-2.9892 -2.9892 5.7425
Se Ag Ga In
4 2 1 1
Cartesian
-1.4216 1.5775 4.2369
4.5667 4.4108 1.5056
1.4216 -1.5775 4.2369
1.4117 1.5675 1.5056
2.9892 0.0000 2.8713
0.0000 0.0000 0.0000
0.0000 2.9892 2.8713
2.9892 2.9892 0.0000
```

formation energy from raw total energies	-11.0	kcal/mol of atoms


[9]
VASP calculation (SCAN) on a crystal of ZrIn2GaAg relaxed with PBEsol.

The structure in POSCAR format:
```
ZrIn2GaAg
1.0
4.9492 0.0000 0.0000
0.0000 4.9492 0.0000
0.0000 0.0000 5.3276
Zr Ga In Ag
1 1 2 1
Cartesian
0.0000 0.0000 2.6638
2.4746 2.4746 2.6638
2.4746 0.0000 0.0000
0.0000 2.4746 0.0000
0.0000 0.0000 0.0000
```

energy relative to the elements	0.5417	eV/atom


[10]
VASP calculation (SCAN) on a crystal of Ga2AgIrN relaxed with PBEsol.

The structure in POSCAR format:
```
Ga2AgIrN
1.0
-4.3531 0.6355 1.6278
-0.5198 -4.6427 0.4222
1.7698 0.2243 4.6454
N Ga Ir Ag
1 2 1 1
Cartesian
-1.5516 -1.8915 3.3477
-2.1765 0.3177 0.8139
-0.2599 -2.3213 0.2111
0.8849 0.1121 2.3227
0.0000 0.0000 0.0000
```

formation energy from raw total energies	47.6	kcal/mol of atoms


[11]
VASP calculation (SCAN) on a crystal of KGa2Ag2 relaxed with PBEsol.

The structure in POSCAR format:
```
KGa2Ag2
1.0
2.7482 0.0000 0.0000
0.0000 8.4187 0.0000
0.0000 0.0000 8.4187
K Ga Ag
2 4 4
Cartesian
0.0000 0.0000 0.0000
0.0000 4.2094 4.2094
1.3741 5.3566 7.2715
1.3741 7.2715 3.0622
1.3741 3.0622 1.1472
1.3741 1.1472 5.3566
0.0000 5.5101 1.3007
0.0000 2.9086 7.1180
0.0000 1.3007 2.9086
0.0000 7.1180 5.5101
```

energy relative to the elements	-0.0123	eV/atom
polymorph energy (0 for the lowest one)	0	meV/atom


[12]
VASP calculation (SCAN) on a crystal of KGa2Ag2 relaxed with PBEsol.

The structure in POSCAR format:
```
KGa2Ag2
1.0
-0.8503 1.4661 4.1120
-1.5600 -4.0147 1.1088
6.3745 -0.2855 -0.9854
K Ga Ag
1 2 2
Cartesian
0.0000 0.0000 0.0000
2.1595 -0.0469 2.8685
1.8047 -2.7873 1.3669
3.8898 -1.1737 1.2228
0.0744 -1.6604 3.0127
```

energy relative to the elements	0.0090	eV/atom
polymorph energy (0 for the lowest one)	21	meV/atom


[13]
VASP calculation (SCAN) on a crystal of LaGa2Ag2 relaxed with PBEsol.

The structure in POSCAR format:
```
LaGa2Ag2
1.0
4.3969 0.0000 0.0000
0.0000 4.3969 0.0000
-2.1984 -2.1984 5.3575
Ag La Ga
2 1 2
Cartesian
2.1984 2.1984 1.3215
0.0000 0.0000 4.0360
0.0000 0.0000 0.0000
2.1984 0.0000 2.6787
0.0000 2.1984 2.6787
```

energy relative to the elements	-0.4058	eV/atom


[14]
VASP calculation (SCAN) on a crystal of La2GaAg2 relaxed with PBEsol.

The structure in POSCAR format:
```
La2GaAg2
1.0
-3.8337 -2.1398 -3.5730
-0.1375 -1.8021 5.3644
-0.4710 5.4733 1.3652
Ag Ga La
2 1 2
Cartesian
-0.2050 1.2364 2.2664
-0.4036 2.4348 4.4631
0.0000 0.0000 0.0000
-2.1378 -1.0531 2.5780
-2.3045 2.5846 0.5784
```

energy relative to the elements	-0.1924	eV/atom
polymorph energy (0 for the lowest one)	192	meV/atom


[15]
VASP calculation (SCAN) on a crystal of La2Ga2Ag relaxed with PBEsol.

The structure in POSCAR format:
```
La2Ga2Ag
1.0
4.7467 0.0000 0.0000
0.0000 7.0750 0.0000
0.0000 0.0000 7.0750
La Ga Ag
4 4 2
Cartesian
2.3734 4.7307 5.8819
2.3734 2.3444 1.1931
2.3734 5.8819 2.3444
2.3734 1.1931 4.7307
0.0000 4.4859 0.9484
0.0000 0.9484 2.5891
0.0000 6.1267 4.4859
0.0000 2.5891 6.1267
0.0000 0.0000 0.0000
0.0000 3.5375 3.5375
```

energy relative to the elements	-0.5535	eV/atom


[16]
VASP calculation (SCAN) on a crystal of La2GaAg2 relaxed with PBEsol.

The structure in POSCAR format:
```
La2GaAg2
1.0
4.1467 0.0000 0.0000
0.0000 7.7372 0.0000
0.0000 0.0000 7.7372
Ag La Ga
4 4 2
Cartesian
0.0000 6.7667 4.8391
0.0000 2.8981 6.7667
0.0000 4.8391 0.9705
0.0000 0.9705 2.8981
2.0733 5.2551 6.3507
2.0733 1.3865 5.2551
2.0733 6.3507 2.4821
2.0733 2.4821 1.3865
0.0000 3.8686 3.8686
0.0000 0.0000 0.0000
```

energy relative to the elements	-0.3846	eV/atom
polymorph energy (0 for the lowest one)	0	meV/atom


[17]
VASP calculation (SCAN) on a crystal of LaGaAg2Te relaxed with PBEsol.

The structure in POSCAR format:
```
LaGaAg2Te
1.0
-0.1515 -2.3656 -5.1230
3.6002 -3.9868 1.7345
-4.5994 -3.4093 1.7103
Te La Ag Ga
1 1 2 1
Cartesian
-2.2997 -1.7046 0.8551
0.0000 0.0000 0.0000
1.8001 -1.9934 0.8673
-0.0757 -1.1828 -2.5615
-0.5753 -4.8808 -0.8391
```

formation energy from raw total energies	10.7	kcal/mol of atoms


[18]
VASP calculation (SCAN) on a crystal of LiGa2Ag relaxed with PBEsol.

The structure in POSCAR format:
```
LiGa2Ag
1.0
4.4662 0.0000 0.0000
2.2331 3.8678 0.0000
2.2331 1.2893 3.6466
Ga Ag Li
2 1 1
Cartesian
2.2331 1.2893 0.9117
6.6993 3.8678 2.7350
4.4662 2.5786 1.8233
0.0000 0.0000 0.0000
```

energy relative to the elements	-0.1707	eV/atom


[19]
VASP calculation (SCAN) on a crystal of Li2Ga2Ag relaxed with PBEsol.

The structure in POSCAR format:
```
Li2Ga2Ag
1.0
3.2360 0.0000 0.0000
0.0000 6.8985 0.0000
0.0000 0.0000 6.8985
Li Ga Ag
4 4 2
Cartesian
1.6180 1.1498 4.5991
1.6180 2.2994 1.1498
1.6180 4.5991 5.7486
1.6180 5.7486 2.2994
0.0000 2.5349 5.9841
0.0000 5.9841 4.3636
0.0000 0.9143 2.5349
0.0000 4.3636 0.9143
0.0000 0.0000 0.0000
0.0000 3.4492 3.4492
```

energy relative to the elements	-0.2412	eV/atom


[20]
VASP calculation (SCAN) on a crystal of Li2GaAg2 relaxed with PBEsol.

The structure in POSCAR format:
```
Li2GaAg2
1.0
3.3549 0.0000 0.0000
0.0000 6.9134 0.0000
0.0000 0.0000 6.9134
Li Ag Ga
4 4 2
Cartesian
1.6774 2.3562 1.1005
1.6774 1.1005 4.5572
1.6774 5.8129 2.3562
1.6774 4.5572 5.8129
0.0000 4.4463 0.9896
0.0000 2.4671 5.9238
0.0000 0.9896 2.4671
0.0000 5.9238 4.4463
0.0000 3.4567 3.4567
0.0000 0.0000 0.0000
```

energy relative to the elements	-0.1518	eV/atom
polymorph energy (0 for the lowest one)	0	meV/atom


The DFT total energy results, record by record, are as follows: -1.2058 -1.3586 -1.1195 -0.8250 -1.0637 -0.9353 -1.1683 -0.9031 -1.0472 -0.9859 -0.7630 -0.7623 -1.0331 -1.2219 -1.1248 -1.2290 -1.1548 -0.6168 -0.5148 -0.6219 Ha/atom.